(1)
# Pa3Ga4Pt2

A relaxed Pa3Ga4Pt2 crystal (PBE-GGA, Alexandria).

SG: No. 71
total energy: -6.34 eV per atom

```
data_Pa3Ga4Pt2
_chemical_formula_sum 'Pa3 Ga4 Pt2'
_cell_length_a 4.163
_cell_length_b 7.772
_cell_length_c 7.772
_cell_angle_alpha 55.44
_cell_angle_beta 74.46
_cell_angle_gamma 74.46
_symmetry_space_group_name_H-M 'P 1'
_symmetry_Int_Tables_number 1
_symmetry_space_group_name_Hall 'P 1'
loop_
_atom_site_label
_atom_site_type_symbol
_atom_site_fract_x
_atom_site_fract_y
_atom_site_fract_z
Pa1 Pa 0.393 0.107 0.107
Pa2 Pa 0.500 0.500 0.500
Pa3 Pa 0.607 0.893 0.893
Ga1 Ga 0.808 0.882 0.503
Ga2 Ga 0.192 0.497 0.118
Ga3 Ga 0.192 0.118 0.497
Ga4 Ga 0.808 0.503 0.882
Pt1 Pt 0.000 0.775 0.225
Pt2 Pt 0.000 0.225 0.775
```

---

(2)
# PaGa2Pt

A relaxed PaGa2Pt crystal (PBE-GGA, Alexandria).

SG: No. 166
total energy: -5.47 eV per atom

```
data_PaGa2Pt
_chemical_formula_sum 'Pa1 Ga2 Pt1'
_cell_length_a 3.011
_cell_length_b 3.011
_cell_length_c 10.259
_cell_angle_alpha 81.56
_cell_angle_beta 81.56
_cell_angle_gamma 60.00
_symmetry_space_group_name_H-M 'P 1'
_symmetry_Int_Tables_number 1
_symmetry_space_group_name_Hall 'P 1'
loop_
_atom_site_label
_atom_site_type_symbol
_atom_site_fract_x
_atom_site_fract_y
_atom_site_fract_z
Pa1 Pa 0.000 0.000 0.000
Ga1 Ga 0.099 0.099 0.703
Ga2 Ga 0.901 0.901 0.297
Pt1 Pt 0.500 0.500 0.500
```

---

(3)
# Pu2PaGa3Pt4

A relaxed Pu2PaGa3Pt4 crystal (PBE-GGA, Alexandria).

SG: No. 115
total energy: -7.84 eV per atom

```
data_Pu2PaGa3Pt4
_chemical_formula_sum 'Pu2 Pa1 Ga3 Pt4'
_cell_length_a 4.348
_cell_length_b 4.348
_cell_length_c 10.949
_cell_angle_alpha 90.00
_cell_angle_beta 90.00
_cell_angle_gamma 90.00
_symmetry_space_group_name_H-M 'P 1'
_symmetry_Int_Tables_number 1
_symmetry_space_group_name_Hall 'P 1'
loop_
_atom_site_label
_atom_site_type_symbol
_atom_site_fract_x
_atom_site_fract_y
_atom_site_fract_z
Pu1 Pu 0.500 0.000 0.234
Pu2 Pu 0.000 0.500 0.766
Pa1 Pa 0.500 0.500 0.500
Ga1 Ga 0.000 0.000 0.500
Ga2 Ga 0.500 0.000 0.880
Ga3 Ga 0.000 0.500 0.120
Pt1 Pt 0.500 0.500 0.000
Pt2 Pt 0.000 0.000 0.000
Pt3 Pt 0.500 0.000 0.655
Pt4 Pt 0.000 0.500 0.345
```

---

(4)
# PaGaPtRh

A relaxed PaGaPtRh crystal (PBE-GGA, Alexandria).

SG: No. 216
total energy: -7.21 eV per atom

```
data_PaGaPtRh
_chemical_formula_sum 'Pa1 Ga1 Pt1 Rh1'
_cell_length_a 4.721
_cell_length_b 4.721
_cell_length_c 4.721
_cell_angle_alpha 60.00
_cell_angle_beta 60.00
_cell_angle_gamma 60.00
_symmetry_space_group_name_H-M 'P 1'
_symmetry_Int_Tables_number 1
_symmetry_space_group_name_Hall 'P 1'
loop_
_atom_site_label
_atom_site_type_symbol
_atom_site_fract_x
_atom_site_fract_y
_atom_site_fract_z
Pa1 Pa 0.000 0.000 0.000
Rh1 Rh 0.250 0.250 0.250
Ga1 Ga 0.500 0.500 0.500
Pt1 Pt 0.750 0.750 0.750
```

---

(5)
# ScPaGaPt

A relaxed ScPaGaPt crystal (PBE-GGA, Alexandria).

SG: No. 216
total energy: -6.80 eV per atom

```
data_ScPaGaPt
_chemical_formula_sum 'Sc1 Pa1 Ga1 Pt1'
_cell_length_a 4.898
_cell_length_b 4.898
_cell_length_c 4.898
_cell_angle_alpha 60.00
_cell_angle_beta 60.00
_cell_angle_gamma 60.00
_symmetry_space_group_name_H-M 'P 1'
_symmetry_Int_Tables_number 1
_symmetry_space_group_name_Hall 'P 1'
loop_
_atom_site_label
_atom_site_type_symbol
_atom_site_fract_x
_atom_site_fract_y
_atom_site_fract_z
Sc1 Sc 0.500 0.500 0.500
Pa1 Pa 0.000 0.000 0.000
Ga1 Ga 0.250 0.250 0.250
Pt1 Pt 0.750 0.750 0.750
```

---

(6)
# Pa2Ga2Si4Pt

A relaxed Pa2Ga2Si4Pt crystal (PBE-GGA, Alexandria).

SG: No. 139
E_form (uncorrected): -0.450 eV/atom
total energy: -6.31 eV per atom

```
data_Pa2Ga2Si4Pt
_chemical_formula_sum 'Pa2 Ga2 Si4 Pt1'
_cell_length_a 6.055
_cell_length_b 6.055
_cell_length_c 6.055
_cell_angle_alpha 92.72
_cell_angle_beta 118.44
_cell_angle_gamma 118.44
_symmetry_space_group_name_H-M 'P 1'
_symmetry_Int_Tables_number 1
_symmetry_space_group_name_Hall 'P 1'
loop_
_atom_site_label
_atom_site_type_symbol
_atom_site_fract_x
_atom_site_fract_y
_atom_site_fract_z
Pa1 Pa 0.500 0.750 0.250
Pa2 Pa 0.500 0.250 0.750
Ga1 Ga 0.000 0.704 0.704
Ga2 Ga 0.000 0.296 0.296
Si1 Si 0.000 0.719 0.281
Si2 Si 0.438 0.719 0.719
Si3 Si 0.000 0.281 0.719
Si4 Si 0.562 0.281 0.281
Pt1 Pt 0.000 0.000 0.000
```

---

(7)
# Sm2PaGa3Pt4

A relaxed Sm2PaGa3Pt4 crystal (PBE-GGA, Alexandria).

SG: No. 115
total energy: -6.11 eV per atom

```
data_Sm2PaGa3Pt4
_chemical_formula_sum 'Sm2 Pa1 Ga3 Pt4'
_cell_length_a 4.353
_cell_length_b 4.353
_cell_length_c 11.024
_cell_angle_alpha 90.00
_cell_angle_beta 90.00
_cell_angle_gamma 90.00
_symmetry_space_group_name_H-M 'P 1'
_symmetry_Int_Tables_number 1
_symmetry_space_group_name_Hall 'P 1'
loop_
_atom_site_label
_atom_site_type_symbol
_atom_site_fract_x
_atom_site_fract_y
_atom_site_fract_z
Sm1 Sm 0.500 0.000 0.222
Sm2 Sm 0.000 0.500 0.778
Pa1 Pa 0.500 0.500 0.500
Ga1 Ga 0.000 0.000 0.500
Ga2 Ga 0.500 0.000 0.878
Ga3 Ga 0.000 0.500 0.122
Pt1 Pt 0.500 0.500 0.000
Pt2 Pt 0.000 0.000 0.000
Pt3 Pt 0.500 0.000 0.653
Pt4 Pt 0.000 0.500 0.347
```

---

(8)
# SmPaGa5Pt2

A relaxed SmPaGa5Pt2 crystal (PBE-GGA, Alexandria).

SG: No. 123
total energy: -5.19 eV per atom

```
data_SmPaGa5Pt2
_chemical_formula_sum 'Sm1 Pa1 Ga5 Pt2'
_cell_length_a 4.056
_cell_length_b 4.056
_cell_length_c 10.694
_cell_angle_alpha 90.00
_cell_angle_beta 90.00
_cell_angle_gamma 90.00
_symmetry_space_group_name_H-M 'P 1'
_symmetry_Int_Tables_number 1
_symmetry_space_group_name_Hall 'P 1'
loop_
_atom_site_label
_atom_site_type_symbol
_atom_site_fract_x
_atom_site_fract_y
_atom_site_fract_z
Sm1 Sm 0.000 0.000 0.500
Pa1 Pa 0.000 0.000 0.000
Ga1 Ga 0.000 0.500 0.277
Ga2 Ga 0.500 0.000 0.277
Ga3 Ga 0.000 0.500 0.723
Ga4 Ga 0.500 0.000 0.723
Ga5 Ga 0.500 0.500 0.500
Pt1 Pt 0.500 0.500 0.122
Pt2 Pt 0.500 0.500 0.878
```

---

(9)
# PaGaSnPt

A relaxed PaGaSnPt crystal (PBE-GGA, Alexandria).

SG: No. 216
total energy: -6.12 eV per atom

```
data_PaGaSnPt
_chemical_formula_sum 'Pa1 Ga1 Sn1 Pt1'
_cell_length_a 4.902
_cell_length_b 4.902
_cell_length_c 4.902
_cell_angle_alpha 60.00
_cell_angle_beta 60.00
_cell_angle_gamma 60.00
_symmetry_space_group_name_H-M 'P 1'
_symmetry_Int_Tables_number 1
_symmetry_space_group_name_Hall 'P 1'
loop_
_atom_site_label
_atom_site_type_symbol
_atom_site_fract_x
_atom_site_fract_y
_atom_site_fract_z
Ga1 Ga 0.250 0.250 0.250
Pa1 Pa 0.000 0.000 0.000
Sn1 Sn 0.500 0.500 0.500
Pt1 Pt 0.750 0.750 0.750
```

---

(10)
# Th2PaGa3Pt4

A relaxed Th2PaGa3Pt4 crystal (PBE-GGA, Alexandria).

SG: No. 115
total energy: -6.63 eV per atom

```
data_Th2PaGa3Pt4
_chemical_formula_sum 'Th2 Pa1 Ga3 Pt4'
_cell_length_a 4.381
_cell_length_b 4.381
_cell_length_c 10.936
_cell_angle_alpha 90.00
_cell_angle_beta 90.00
_cell_angle_gamma 90.00
_symmetry_space_group_name_H-M 'P 1'
_symmetry_Int_Tables_number 1
_symmetry_space_group_name_Hall 'P 1'
loop_
_atom_site_label
_atom_site_type_symbol
_atom_site_fract_x
_atom_site_fract_y
_atom_site_fract_z
Th1 Th 0.500 0.000 0.225
Th2 Th 0.000 0.500 0.775
Pa1 Pa 0.500 0.500 0.500
Ga1 Ga 0.000 0.000 0.500
Ga2 Ga 0.500 0.000 0.879
Ga3 Ga 0.000 0.500 0.121
Pt1 Pt 0.500 0.500 0.000
Pt2 Pt 0.000 0.000 0.000
Pt3 Pt 0.500 0.000 0.653
Pt4 Pt 0.000 0.500 0.347
```

---

(11)
# ThPaGa5Pt2

A relaxed ThPaGa5Pt2 crystal (PBE-GGA, Alexandria).

SG: No. 123
total energy: -5.44 eV per atom

```
data_ThPaGa5Pt2
_chemical_formula_sum 'Th1 Pa1 Ga5 Pt2'
_cell_length_a 4.138
_cell_length_b 4.138
_cell_length_c 10.621
_cell_angle_alpha 90.00
_cell_angle_beta 90.00
_cell_angle_gamma 90.00
_symmetry_space_group_name_H-M 'P 1'
_symmetry_Int_Tables_number 1
_symmetry_space_group_name_Hall 'P 1'
loop_
_atom_site_label
_atom_site_type_symbol
_atom_site_fract_x
_atom_site_fract_y
_atom_site_fract_z
Th1 Th 0.000 0.000 0.500
Pa1 Pa 0.000 0.000 0.000
Ga1 Ga 0.000 0.500 0.270
Ga2 Ga 0.500 0.000 0.270
Ga3 Ga 0.000 0.500 0.730
Ga4 Ga 0.500 0.000 0.730
Ga5 Ga 0.500 0.500 0.500
Pt1 Pt 0.500 0.500 0.122
Pt2 Pt 0.500 0.500 0.878
```

---

(12)
# ZrPaGa5Pt2

A relaxed ZrPaGa5Pt2 crystal (PBE-GGA, Alexandria).

SG: No. 123
total energy: -5.45 eV per atom

```
data_ZrPaGa5Pt2
_chemical_formula_sum 'Zr1 Pa1 Ga5 Pt2'
_cell_length_a 4.061
_cell_length_b 4.061
_cell_length_c 10.352
_cell_angle_alpha 90.00
_cell_angle_beta 90.00
_cell_angle_gamma 90.00
_symmetry_space_group_name_H-M 'P 1'
_symmetry_Int_Tables_number 1
_symmetry_space_group_name_Hall 'P 1'
loop_
_atom_site_label
_atom_site_type_symbol
_atom_site_fract_x
_atom_site_fract_y
_atom_site_fract_z
Zr1 Zr 0.000 0.000 0.000
Pa1 Pa 0.000 0.000 0.500
Ga1 Ga 0.000 0.500 0.274
Ga2 Ga 0.500 0.000 0.274
Ga3 Ga 0.000 0.500 0.726
Ga4 Ga 0.500 0.000 0.726
Ga5 Ga 0.500 0.500 0.500
Pt1 Pt 0.500 0.500 0.124
Pt2 Pt 0.500 0.500 0.876
```

---

no.,ρ (g/cm³)
1,11.5
2,11.8
3,13.7
4,13.4
5,10.8
6,9.4
7,12.1
8,10.6
9,12.2
10,13.3
11,11.0
12,10.3